# 1
The following is a DFT calculation (PBE) of a relaxed structure of K8Tl10Zn.

Structure (CIF):
```
data_K8Tl10Zn
_space_group_name_H-M_alt 'P 1'
_space_group_IT_number 1
_cell_length_a 10.472
_cell_length_b 10.472
_cell_length_c 13.991
_cell_angle_alpha 90.00
_cell_angle_beta 90.00
_cell_angle_gamma 90.00
loop_
_space_group_symop_operation_xyz
'x,y,z'
loop_
_atom_site_label
_atom_site_type_symbol
_atom_site_fract_x
_atom_site_fract_y
_atom_site_fract_z
K1 K 0.046 0.676 0.105
K2 K 0.046 0.824 0.395
K3 K 0.176 0.546 0.605
K4 K 0.176 0.954 0.895
K5 K 0.324 0.546 0.895
K6 K 0.324 0.954 0.605
K7 K 0.454 0.676 0.395
K8 K 0.454 0.824 0.105
K9 K 0.546 0.176 0.895
K10 K 0.546 0.324 0.605
K11 K 0.676 0.046 0.395
K12 K 0.676 0.454 0.105
K13 K 0.824 0.046 0.105
K14 K 0.824 0.454 0.395
K15 K 0.954 0.176 0.605
K16 K 0.954 0.324 0.895
Tl1 Tl 0.010 0.155 0.340
Tl2 Tl 0.010 0.345 0.160
Tl3 Tl 0.155 0.010 0.160
Tl4 Tl 0.155 0.490 0.340
Tl5 Tl 0.250 0.250 0.039
Tl6 Tl 0.250 0.250 0.461
Tl7 Tl 0.345 0.010 0.340
Tl8 Tl 0.345 0.490 0.160
Tl9 Tl 0.490 0.155 0.160
Tl10 Tl 0.490 0.345 0.340
Tl11 Tl 0.510 0.655 0.660
Tl12 Tl 0.510 0.845 0.840
Tl13 Tl 0.655 0.510 0.840
Tl14 Tl 0.655 0.990 0.660
Tl15 Tl 0.750 0.750 0.539
Tl16 Tl 0.750 0.750 0.961
Tl17 Tl 0.845 0.510 0.660
Tl18 Tl 0.845 0.990 0.840
Tl19 Tl 0.990 0.655 0.840
Tl20 Tl 0.990 0.845 0.660
Zn1 Zn 0.250 0.250 0.250
Zn2 Zn 0.750 0.750 0.750
```

As for the raw total energy: -1.92 eV/atom. The symmetry is P4/nnc, No. 126. The value obtained for the density is 5.24 g/cm3.

***

# 2
The following is a DFT calculation (PBE) of a relaxed structure of NaCdReOs.

Structure (CIF):
```
data_NaCdReOs
_space_group_name_H-M_alt 'P 1'
_space_group_IT_number 1
_cell_length_a 6.364
_cell_length_b 6.364
_cell_length_c 6.364
_cell_angle_alpha 90.00
_cell_angle_beta 90.00
_cell_angle_gamma 90.00
loop_
_space_group_symop_operation_xyz
'x,y,z'
loop_
_atom_site_label
_atom_site_type_symbol
_atom_site_fract_x
_atom_site_fract_y
_atom_site_fract_z
Na1 Na 0.000 0.000 0.000
Na2 Na 0.000 0.500 0.500
Na3 Na 0.500 0.000 0.500
Na4 Na 0.500 0.500 0.000
Cd1 Cd 0.250 0.250 0.750
Cd2 Cd 0.250 0.750 0.250
Cd3 Cd 0.750 0.250 0.250
Cd4 Cd 0.750 0.750 0.750
Re1 Re 0.250 0.250 0.250
Re2 Re 0.250 0.750 0.750
Re3 Re 0.750 0.250 0.750
Re4 Re 0.750 0.750 0.250
Os1 Os 0.000 0.000 0.500
Os2 Os 0.000 0.500 0.000
Os3 Os 0.500 0.000 0.000
Os4 Os 0.500 0.500 0.500
```

The symmetry is F-43m, No. 216. The value obtained for the density is 13.19 g/cm3. The offset from the most stable computed form is 0.00 eV/f.u.

***

# 3
The following is a DFT calculation (PBE) of a relaxed structure of Pm2HgPt2.

Structure (CIF):
```
data_Pm2HgPt2
_space_group_name_H-M_alt 'P 1'
_space_group_IT_number 1
_cell_length_a 7.869
_cell_length_b 7.869
_cell_length_c 3.788
_cell_angle_alpha 90.00
_cell_angle_beta 90.00
_cell_angle_gamma 90.00
loop_
_space_group_symop_operation_xyz
'x,y,z'
loop_
_atom_site_label
_atom_site_type_symbol
_atom_site_fract_x
_atom_site_fract_y
_atom_site_fract_z
Pm1 Pm 0.172 0.328 0.000
Pm2 Pm 0.328 0.828 0.000
Pm3 Pm 0.672 0.172 0.000
Pm4 Pm 0.828 0.672 0.000
Hg1 Hg 0.000 0.000 0.500
Hg2 Hg 0.500 0.500 0.500
Pt1 Pt 0.127 0.627 0.500
Pt2 Pt 0.373 0.127 0.500
Pt3 Pt 0.627 0.873 0.500
Pt4 Pt 0.873 0.373 0.500
```

The value obtained for the formation energy is -981 meV per atom. The symmetry is P4/mbm, No. 127. The value obtained for the density is 12.47 g/cm3.

***

# 4
The following is a DFT calculation (PBE) of a relaxed structure of KTh.

Structure (CIF):
```
data_KTh
_space_group_name_H-M_alt 'P 1'
_space_group_IT_number 1
_cell_length_a 7.307
_cell_length_b 7.307
_cell_length_c 7.307
_cell_angle_alpha 90.00
_cell_angle_beta 90.00
_cell_angle_gamma 90.00
loop_
_space_group_symop_operation_xyz
'x,y,z'
loop_
_atom_site_label
_atom_site_type_symbol
_atom_site_fract_x
_atom_site_fract_y
_atom_site_fract_z
K1 K 0.000 0.000 0.000
K2 K 0.000 0.500 0.500
K3 K 0.500 0.000 0.500
K4 K 0.500 0.500 0.000
Th1 Th 0.000 0.000 0.500
Th2 Th 0.000 0.500 0.000
Th3 Th 0.500 0.000 0.000
Th4 Th 0.500 0.500 0.500
```

As for the raw total energy: -2.34 eV/atom. The symmetry is Fm-3m, No. 225. The value obtained for the density is 4.62 g/cm3.

***

# 5
The following is a DFT calculation (PBE) of a relaxed structure of CsTcGe.

Structure (CIF):
```
data_CsTcGe
_space_group_name_H-M_alt 'P 1'
_space_group_IT_number 1
_cell_length_a 7.286
_cell_length_b 7.286
_cell_length_c 7.286
_cell_angle_alpha 90.00
_cell_angle_beta 90.00
_cell_angle_gamma 90.00
loop_
_space_group_symop_operation_xyz
'x,y,z'
loop_
_atom_site_label
_atom_site_type_symbol
_atom_site_fract_x
_atom_site_fract_y
_atom_site_fract_z
Cs1 Cs 0.000 0.000 0.000
Cs2 Cs 0.000 0.500 0.500
Cs3 Cs 0.500 0.000 0.500
Cs4 Cs 0.500 0.500 0.000
Tc1 Tc 0.000 0.000 0.500
Tc2 Tc 0.000 0.500 0.000
Tc3 Tc 0.500 0.000 0.000
Tc4 Tc 0.500 0.500 0.500
Ge1 Ge 0.250 0.250 0.250
Ge2 Ge 0.250 0.750 0.750
Ge3 Ge 0.750 0.250 0.750
Ge4 Ge 0.750 0.750 0.250
```

The symmetry is F-43m, No. 216. The value obtained for the density is 5.21 g/cm3. The offset from the most stable computed form is 0.96 eV/f.u.

***

# 6
The following is a DFT calculation (PBE) of a relaxed structure of PrHg6I2.

Structure (CIF):
```
data_PrHg6I2
_space_group_name_H-M_alt 'P 1'
_space_group_IT_number 1
_cell_length_a 9.012
_cell_length_b 9.012
_cell_length_c 3.985
_cell_angle_alpha 90.00
_cell_angle_beta 90.00
_cell_angle_gamma 120.00
loop_
_space_group_symop_operation_xyz
'x,y,z'
loop_
_atom_site_label
_atom_site_type_symbol
_atom_site_fract_x
_atom_site_fract_y
_atom_site_fract_z
Pr1 Pr 0.000 0.000 0.000
Hg1 Hg 0.000 0.282 0.500
Hg2 Hg 0.000 0.648 0.000
Hg3 Hg 0.282 0.000 0.500
Hg4 Hg 0.352 0.352 0.000
Hg5 Hg 0.648 0.000 0.000
Hg6 Hg 0.718 0.718 0.500
I1 I 0.333 0.667 0.500
I2 I 0.667 0.333 0.500
```

As for the raw total energy: -1.29 eV/atom. The symmetry is P-62m, No. 189. The value obtained for the density is 9.47 g/cm3.

***

# 7
The following is a DFT calculation (PBE) of a relaxed structure of KSmTmS3.

Structure (CIF):
```
data_KSmTmS3
_space_group_name_H-M_alt 'P 1'
_space_group_IT_number 1
_cell_length_a 7.683
_cell_length_b 7.683
_cell_length_c 10.992
_cell_angle_alpha 90.00
_cell_angle_beta 90.00
_cell_angle_gamma 146.90
loop_
_space_group_symop_operation_xyz
'x,y,z'
loop_
_atom_site_label
_atom_site_type_symbol
_atom_site_fract_x
_atom_site_fract_y
_atom_site_fract_z
K1 K 0.237 0.763 0.750
K2 K 0.763 0.237 0.250
Sm1 Sm 0.500 0.500 0.000
Sm2 Sm 0.500 0.500 0.500
Tm1 Tm 0.030 0.970 0.250
Tm2 Tm 0.970 0.030 0.750
S1 S 0.122 0.878 0.056
S2 S 0.122 0.878 0.444
S3 S 0.438 0.562 0.250
S4 S 0.562 0.438 0.750
S5 S 0.878 0.122 0.556
S6 S 0.878 0.122 0.944
```

As for the raw total energy: -5.42 eV/atom. The symmetry is Cmcm, No. 63. The value obtained for the density is 4.26 g/cm3.

***

# 8
The following is a DFT calculation (PBE) of a relaxed structure of GaCoRePd.

Structure (CIF):
```
data_GaCoRePd
_space_group_name_H-M_alt 'P 1'
_space_group_IT_number 1
_cell_length_a 6.042
_cell_length_b 6.042
_cell_length_c 6.042
_cell_angle_alpha 90.00
_cell_angle_beta 90.00
_cell_angle_gamma 90.00
loop_
_space_group_symop_operation_xyz
'x,y,z'
loop_
_atom_site_label
_atom_site_type_symbol
_atom_site_fract_x
_atom_site_fract_y
_atom_site_fract_z
Ga1 Ga 0.000 0.000 0.000
Ga2 Ga 0.000 0.500 0.500
Ga3 Ga 0.500 0.000 0.500
Ga4 Ga 0.500 0.500 0.000
Co1 Co 0.250 0.250 0.250
Co2 Co 0.250 0.750 0.750
Co3 Co 0.750 0.250 0.750
Co4 Co 0.750 0.750 0.250
Re1 Re 0.250 0.250 0.750
Re2 Re 0.250 0.750 0.250
Re3 Re 0.750 0.250 0.250
Re4 Re 0.750 0.750 0.750
Pd1 Pd 0.000 0.000 0.500
Pd2 Pd 0.000 0.500 0.000
Pd3 Pd 0.500 0.000 0.000
Pd4 Pd 0.500 0.500 0.500
```

The symmetry is F-43m, No. 216. The value obtained for the density is 12.69 g/cm3. The offset from the most stable computed form is 0.00 eV/f.u.

***

# 9
The following is a DFT calculation (PBE) of a relaxed structure of LuInTe3Pd.

Structure (CIF):
```
data_LuInTe3Pd
_space_group_name_H-M_alt 'P 1'
_space_group_IT_number 1
_cell_length_a 8.672
_cell_length_b 4.094
_cell_length_c 10.607
_cell_angle_alpha 90.00
_cell_angle_beta 110.17
_cell_angle_gamma 90.00
loop_
_space_group_symop_operation_xyz
'x,y,z'
loop_
_atom_site_label
_atom_site_type_symbol
_atom_site_fract_x
_atom_site_fract_y
_atom_site_fract_z
Lu1 Lu 0.204 0.250 0.166
Lu2 Lu 0.796 0.750 0.834
In1 In 0.235 0.750 0.713
In2 In 0.765 0.250 0.287
Te1 Te 0.067 0.250 0.862
Te2 Te 0.264 0.250 0.473
Te3 Te 0.453 0.750 0.152
Te4 Te 0.547 0.250 0.848
Te5 Te 0.736 0.750 0.527
Te6 Te 0.933 0.750 0.138
Pd1 Pd 0.406 0.750 0.391
Pd2 Pd 0.594 0.250 0.609
```

The symmetry is P2_1/m, No. 11. The value obtained for the density is 7.32 g/cm3. The offset from the most stable computed form is 0.11 eV/f.u.

***

# 10
The following is a DFT calculation (PBE) of a relaxed structure of CdSnHgSe3.

Structure (CIF):
```
data_CdSnHgSe3
_space_group_name_H-M_alt 'P 1'
_space_group_IT_number 1
_cell_length_a 7.175
_cell_length_b 7.175
_cell_length_c 11.943
_cell_angle_alpha 90.00
_cell_angle_beta 90.00
_cell_angle_gamma 147.25
loop_
_space_group_symop_operation_xyz
'x,y,z'
loop_
_atom_site_label
_atom_site_type_symbol
_atom_site_fract_x
_atom_site_fract_y
_atom_site_fract_z
Cd1 Cd 0.002 0.998 0.750
Cd2 Cd 0.998 0.002 0.250
Sn1 Sn 0.280 0.720 0.250
Sn2 Sn 0.720 0.280 0.750
Hg1 Hg 0.500 0.500 0.000
Hg2 Hg 0.500 0.500 0.500
Se1 Se 0.128 0.872 0.579
Se2 Se 0.128 0.872 0.921
Se3 Se 0.374 0.626 0.750
Se4 Se 0.626 0.374 0.250
Se5 Se 0.872 0.128 0.079
Se6 Se 0.872 0.128 0.421
```

The symmetry is Cmcm, No. 63. The value obtained for the density is 6.68 g/cm3. The offset from the most stable computed form is 0.00 eV/f.u.